[1]
Compound: RbHW
Source: Alexandria
Functional: PBE
Structure: optimized geometry

Summary:
The space group is P1 (1).

Cell: 3.4520 3.4521 13.0238 Å, 94.05 92.68 119.98°
Fractional positions:
W 0.6136 0.3942 0.2275
Rb 0.7725 0.5756 0.6121
Rb 0.8399 0.9381 0.9674
H 0.3912 0.8540 0.4950
H 0.5543 0.3262 0.0837
W 0.3314 0.7861 0.3510

[2]
Compound: DyMnRhAu
Source: Alexandria
Functional: PBE
Structure: optimized geometry

Summary:
The space group is F-43m (216). Its energy of formation from the pure elements is -0.41 eV/atom.

Cell: 4.7304 4.7304 4.7304 Å, 60.00 60.00 60.00°
Last column: magnetic moment on the atom in μB.
Fractional positions:
Au 0.0000 0.0000 0.0000  0.03
Dy 0.2500 0.2500 0.2500  -0.01
Mn 0.7500 0.7500 0.7500  3.99
Rh 0.5000 0.5000 0.5000  0.34

[3]
Compound: TbPmLuPb
Source: Alexandria
Functional: PBE
Structure: optimized geometry

Summary:
The space group is F-43m (216). Its energy of formation from the pure elements is -0.13 eV/atom.

Cell: 5.5054 5.5054 5.5054 Å, 60.00 60.00 60.00°
Fractional positions:
Lu 0.2500 0.2500 0.2500
Pm 0.0000 0.0000 0.0000
Tb 0.5000 0.5000 0.5000
Pb 0.7500 0.7500 0.7500

[4]
Compound: Sr2NpSb4Rh3
Source: Alexandria
Functional: PBE
Structure: optimized geometry

Summary:
For the uncorrected formation energy, the calculation gives -5.49 eV per formula unit. The space group is P-4m2 (115).

Cell: 4.5280 4.5280 12.1683 Å, 90.00 90.00 90.00°
Last column: magnetic moment on the atom in μB.
Fractional positions:
Sr 0.5000 0.0000 0.2300  0.00
Rh 0.5000 0.0000 0.8864  0.01
Np 0.5000 0.5000 0.5000  3.80
Sb 0.5000 0.0000 0.6663  -0.04
Sb 0.0000 0.5000 0.3337  -0.04
Rh 0.0000 0.0000 0.5000  -0.40
Sr 0.0000 0.5000 0.7700  0.00
Sb 0.0000 0.0000 0.0000  -0.01
Rh 0.0000 0.5000 0.1136  0.01
Sb 0.5000 0.5000 0.0000  0.00

[5]
Compound: SrGa3Cl
Source: Alexandria
Functional: PBE
Structure: optimized geometry

Summary:
For the uncorrected formation energy, the calculation gives 3.24 eV per formula unit. The space group is Pm-3m (221).

Cell: 6.1624 6.1624 6.1624 Å, 90.00 90.00 90.00°
Last column: magnetic moment on the atom in μB.
Fractional positions:
Ga 0.0000 0.5000 0.0000  0.16
Ga 0.5000 0.0000 0.0000  0.17
Sr 0.0000 0.0000 0.0000  0.16
Cl 0.5000 0.5000 0.5000  0.06
Ga 0.0000 0.0000 0.5000  0.08

For each record above, in turn, the calculated spin magnetization values are 0.1, 4.6, 0.0, 3.6, 1.6 Bohr magnetons per cell.
For each record above, in turn, the calculated calculated volume values are 22.25, 18.71, 29.50, 24.95, 46.80 Å³ per atom.
For each record above, in turn, the calculated DFT total energy values are -5.166, -6.512, -4.530, -6.034, -1.874 eV/atom.